[1]
A plane-wave DFT calculation with PBE was carried out for crystalline BeVCr at its relaxed geometry.

Unit cell a=2.3538 b=2.3538 c=6.8118 alpha=99.95 beta=99.95 gamma=90.00
Fractional coordinates of all 3 atoms:
Cr 0.7673 0.7673 0.5345
Be 0.1340 0.1340 0.2681
V 0.9487 0.9487 0.8974

Summary:
As for the space group: I4mm. The calculation puts the energy above the most stable polymorph in this dataset at 0.612 eV/atom.

=====

[2]
A plane-wave DFT calculation with PBE was carried out for crystalline Sm2SnBr at its relaxed geometry.

Unit cell a=4.3663 b=4.3663 c=8.0502 alpha=74.26 beta=74.26 gamma=60.00
Fractional coordinates of all 4 atoms:
Sm 0.0745 0.0745 0.7766
Sm 0.2601 0.2601 0.2197
Sn 0.6682 0.6682 0.9954
Br 0.4972 0.4972 0.5083

Summary:
For the formation energy from raw total energies, the calculation gives -0.888 eV/atom. As for the space group: R3m. The calculation puts the energy above the most stable polymorph in this dataset at 0.000 eV/atom.

=====

[3]
A plane-wave DFT calculation with PBE was carried out for crystalline Na2Tl2In2Hg at its relaxed geometry.

Unit cell a=3.4935 b=13.8878 c=17.8252 alpha=164.63 beta=90.00 gamma=97.23
Fractional coordinates of all 7 atoms:
Na 0.5426 0.0853 0.7283
Na 0.4574 0.9147 0.2717
Tl 0.7551 0.5102 0.4176
Tl 0.2449 0.4898 0.5824
In 0.3648 0.7295 0.9392
In 0.6352 0.2705 0.0608
Hg 0.0000 0.0000 0.5000

Summary:
As for the electronic total energy: -1.936 eV per atom. As for the space group: C2/m.